(1)
! Li3GePd (GGA-PBE, optimized geometry); values from VASP
&SYSTEM
  ibrav = 0, nat = 10, ntyp = 3
/
ATOMIC_SPECIES
Li 6.94 Li.upf
Ge 72.64 Ge.upf
Pd 106.42 Pd.upf
ATOMIC_POSITIONS angstrom
Li 0.7499 0.2037 1.5204
Li 0.7499 2.1312 4.5575
Li 0.7499 4.0586 1.5204
Li 2.2497 4.4661 4.9741
Li 2.2497 6.3936 1.9370
Li 2.2497 8.3210 4.9741
Ge 0.7499 6.3936 6.3810
Ge 2.2497 2.1312 0.1135
Pd 0.7499 6.3936 3.9296
Pd 2.2497 2.1312 2.5650
CELL_PARAMETERS angstrom
2.9995 0.0000 0.0000
0.0000 8.5247 0.0000
0.0000 0.0000 6.4945
! **E_form**: -0.247 eV per atom

***

(2)
! Li2GePd6 (GGA-PBE, optimized geometry); values from VASP
&SYSTEM
  ibrav = 0, nat = 9, ntyp = 3
/
ATOMIC_SPECIES
Li 6.94 Li.upf
Ge 72.64 Ge.upf
Pd 106.42 Pd.upf
ATOMIC_POSITIONS angstrom
Li 0.0000 2.5222 1.8220
Li 2.1843 1.2611 6.0466
Ge 0.0000 0.0000 0.0000
Pd 0.0000 0.0000 2.4723
Pd 0.0000 0.0000 5.3964
Pd 0.0000 2.5222 4.2835
Pd 0.0000 2.5222 7.1042
Pd 2.1843 1.2611 0.7645
Pd 2.1843 1.2611 3.5852
CELL_PARAMETERS angstrom
4.3685 0.0000 0.0000
-2.1843 3.7833 0.0000
0.0000 0.0000 7.8687
! **E_form**: -0.409 eV per atom

***

(3)
! LiGe2Pd8 (GGA-PBE, optimized geometry); values from VASP
&SYSTEM
  ibrav = 0, nat = 11, ntyp = 3
/
ATOMIC_SPECIES
Li 6.94 Li.upf
Ge 72.64 Ge.upf
Pd 106.42 Pd.upf
ATOMIC_POSITIONS angstrom
Li 0.0000 0.0000 0.0000
Ge 0.0000 0.0000 3.5723
Ge 0.0000 0.0000 8.0366
Pd 2.0368 -1.5686 3.9168
Pd 2.0368 0.0000 1.6082
Pd 2.0368 2.1998 0.0000
Pd 0.0000 1.9789 1.8876
Pd 2.0368 1.5686 3.9168
Pd 0.0000 1.3477 5.8045
Pd 0.0000 3.5475 4.1962
Pd 0.0000 5.1161 1.8876
CELL_PARAMETERS angstrom
-2.0368 3.5475 5.8045
2.0368 -3.5475 5.8045
2.0368 3.5475 -5.8045
! **E_form**: -0.392 eV per atom

***

(4)
! Li3GePd6 (GGA-PBE, optimized geometry); values from VASP
&SYSTEM
  ibrav = 0, nat = 20, ntyp = 3
/
ATOMIC_SPECIES
Li 6.94 Li.upf
Ge 72.64 Ge.upf
Pd 106.42 Pd.upf
ATOMIC_POSITIONS angstrom
Li -1.4919 -0.8614 2.4612
Li 1.4919 -0.8614 2.4612
Li 0.0000 1.7227 2.4612
Li 0.0000 -1.7227 7.1038
Li -1.4919 0.8614 7.1038
Li 1.4919 0.8614 7.1039
Ge 0.0000 0.0000 0.0000
Ge 0.0000 0.0000 4.7825
Pd 0.0000 -3.6394 2.7323
Pd -3.1518 1.8197 2.7323
Pd -1.3592 -2.3543 4.7825
Pd -2.7185 0.0000 4.7825
Pd -3.1518 -1.8197 6.8327
Pd 1.3592 -2.3543 4.7825
Pd -1.3592 2.3543 4.7825
Pd 3.1518 1.8197 2.7323
Pd 2.7185 0.0000 4.7825
Pd 1.3592 2.3543 4.7825
Pd 3.1518 -1.8197 6.8327
Pd 0.0000 3.6394 6.8327
CELL_PARAMETERS angstrom
5.3015 3.0608 3.1883
-5.3015 3.0608 3.1883
0.0000 -6.1216 3.1883
! **E_form**: -0.313 eV per atom

***

(5)
! LiGe2Pd6 (GGA-PBE, optimized geometry); values from VASP
&SYSTEM
  ibrav = 0, nat = 18, ntyp = 3
/
ATOMIC_SPECIES
Li 6.94 Li.upf
Ge 72.64 Ge.upf
Pd 106.42 Pd.upf
ATOMIC_POSITIONS angstrom
Li 0.0000 0.0000 0.0000
Li 3.9736 3.9736 2.0660
Ge 1.5577 1.5577 2.0660
Ge 2.4159 5.5313 0.0000
Ge 5.5313 2.4159 0.0000
Ge 6.3895 6.3895 2.0660
Pd 0.1863 2.5435 0.0000
Pd 1.0191 6.9281 2.0660
Pd 1.4301 4.1599 2.0660
Pd 2.5435 0.1863 0.0000
Pd 2.9545 2.9545 0.0000
Pd 3.7874 6.5171 2.0660
Pd 4.1599 1.4301 2.0660
Pd 4.9927 4.9927 0.0000
Pd 5.4037 7.7610 0.0000
Pd 6.5171 3.7874 2.0660
Pd 6.9281 1.0191 2.0660
Pd 7.7610 5.4037 0.0000
CELL_PARAMETERS angstrom
7.9472 0.0000 0.0000
0.0000 7.9472 0.0000
0.0000 0.0000 4.1321
! **E_form**: -0.493 eV per atom

***

(6)
! Li3GePd (GGA-PBE, optimized geometry); values from VASP
&SYSTEM
  ibrav = 0, nat = 5, ntyp = 3
/
ATOMIC_SPECIES
Li 6.94 Li.upf
Ge 72.64 Ge.upf
Pd 106.42 Pd.upf
ATOMIC_POSITIONS angstrom
Li 0.0000 0.0000 2.3179
Li 0.0000 2.3179 0.0000
Li 2.3179 0.0000 0.0000
Ge 0.0000 0.0000 0.0000
Pd 2.3179 2.3179 2.3179
CELL_PARAMETERS angstrom
4.6358 0.0000 0.0000
0.0000 4.6358 0.0000
0.0000 0.0000 4.6358
! **E_form**: 0.290 eV per atom

***

(7)
! LiGe3Pd3 (GGA-PBE, optimized geometry); values from VASP
&SYSTEM
  ibrav = 0, nat = 14, ntyp = 3
/
ATOMIC_SPECIES
Li 6.94 Li.upf
Ge 72.64 Ge.upf
Pd 106.42 Pd.upf
ATOMIC_POSITIONS angstrom
Li 0.0000 0.0000 2.5599
Li 0.0000 0.0000 12.7346
Ge -1.2625 -2.1720 5.9371
Ge -2.5123 0.0073 9.3574
Ge -1.2498 2.1794 5.9371
Ge 1.2498 -2.1794 9.3574
Ge 2.5123 -0.0073 5.9371
Ge 1.2625 2.1720 9.3574
Pd -2.3731 0.0105 6.7865
Pd -1.1957 -2.0499 8.5080
Pd 1.1774 -2.0604 6.7865
Pd -1.1774 2.0604 8.5080
Pd 1.1957 2.0499 6.7865
Pd 2.3731 -0.0105 8.5080
CELL_PARAMETERS angstrom
3.6908 2.1309 5.0982
-3.6908 2.1309 5.0982
0.0000 -4.2618 5.0982
! **E_form**: -0.423 eV per atom

***

(8)
! Li3Ge2Pd6 (GGA-PBE, optimized geometry); values from VASP
&SYSTEM
  ibrav = 0, nat = 22, ntyp = 3
/
ATOMIC_SPECIES
Li 6.94 Li.upf
Ge 72.64 Ge.upf
Pd 106.42 Pd.upf
ATOMIC_POSITIONS angstrom
Li 3.1057 0.0000 0.0000
Li 6.1899 0.0000 0.0000
Li 0.0000 3.1057 0.0000
Li 0.0000 0.0000 3.1057
Li 0.0000 6.1899 0.0000
Li 0.0000 0.0000 6.1899
Ge 2.3239 2.3239 -2.3239
Ge 2.3239 -2.3239 2.3239
Ge -2.3239 2.3239 2.3239
Ge 2.3239 2.3239 2.3239
Pd 4.6478 1.6881 -1.6881
Pd 4.6478 -1.6881 1.6881
Pd 1.6881 4.6478 -1.6881
Pd 2.9597 2.9597 0.0000
Pd 2.9597 0.0000 2.9597
Pd 1.6881 -1.6881 4.6478
Pd 4.6478 1.6881 1.6881
Pd 0.0000 2.9597 2.9597
Pd -1.6881 4.6478 1.6881
Pd -1.6881 1.6881 4.6478
Pd 1.6881 4.6478 1.6881
Pd 1.6881 1.6881 4.6478
CELL_PARAMETERS angstrom
-4.6478 4.6478 4.6478
4.6478 -4.6478 4.6478
4.6478 4.6478 -4.6478
! **E_form**: -0.450 eV per atom